Record 1
VASP calculation (PBE-GGA) on crystalline Mg14AlC at its relaxed geometry.

Lattice parameters (Å, degrees): 6.2510 6.2510 9.8424 90.00 90.00 120.00
Closest atoms and distances in Å follow each position.
Element x y z (fractional)
1 Mg 0.6803 0.8402 0.2667  1 C 2.88, 8 Mg 2.96-3.20, 1 Al 3.14
2 Mg 0.1598 0.8402 0.7333  1 C 2.88, 8 Mg 2.96-3.20, 1 Al 3.14
3 Mg 0.6667 0.3333 0.2491  12 Mg 3.03-3.13
4 Mg 0.6803 0.8402 0.7333  1 C 2.88, 8 Mg 2.96-3.20, 1 Al 3.14
5 Mg 0.1598 0.3197 0.2667  1 C 2.88, 8 Mg 2.96-3.20, 1 Al 3.14
6 Mg 0.4975 0.9951 0.0000  10 Mg 3.06-3.20, 2 Al 3.13
7 Mg 0.6667 0.3333 0.7509  12 Mg 3.03-3.13
8 Mg 0.1598 0.3197 0.7333  1 C 2.88, 8 Mg 2.96-3.20, 1 Al 3.14
9 Mg 0.0049 0.5025 0.0000  10 Mg 3.06-3.20, 2 Al 3.13
10 Mg 0.5038 0.4962 0.5000  10 Mg 2.96-3.20, 2 C 3.13
11 Mg 0.4975 0.5025 0.0000  10 Mg 3.06-3.20, 2 Al 3.13
12 Mg 0.9923 0.4962 0.5000  10 Mg 2.96-3.20, 2 C 3.13
13 Mg 0.1598 0.8402 0.2667  1 C 2.88, 8 Mg 2.96-3.20, 1 Al 3.14
14 Mg 0.5038 0.0077 0.5000  10 Mg 2.96-3.20, 2 C 3.13
15 Al 0.0000 0.0000 0.0000  12 Mg 3.13-3.14
16 C 0.0000 0.0000 0.5000  12 Mg 2.88-3.13

E above lowest polymorph in meV/atom: 122
Space-group type: No. 187

***

Record 2
VASP calculation (PBE-GGA) on crystalline MgAlC at its relaxed geometry.

Lattice parameters (Å, degrees): 3.3767 3.3732 8.6845 78.72 90.00 120.03
Closest atoms and distances in Å follow each position.
Element x y z (fractional)
1 Mg 0.6169 0.2338 0.6515  3 C 2.52
2 Mg 0.3831 0.7662 0.3485  3 C 2.52
3 C 0.2201 0.4402 0.8411  4 Al 2.00-2.23
4 C 0.7799 0.5598 0.1589  4 Al 2.00-2.23
5 Al 0.1315 0.2630 0.1049  4 C 2.00-2.23
6 Al 0.8685 0.7370 0.8951  4 C 2.00-2.23

Space-group type: No. 12
Total energy in eV per atom: -4.84

***

Record 3
VASP calculation (PBE-GGA) on crystalline Mg14AlC at its relaxed geometry.

Lattice parameters (Å, degrees): 6.3419 6.3419 8.6692 90.00 90.00 104.24
Closest atoms and distances in Å follow each position.
Element x y z (fractional)
1 Mg 0.6606 0.3394 0.7708  8 Mg 2.97-3.28, 1 Al 3.10
2 Mg 0.1806 0.4454 0.3131  1 C 2.51
3 Mg 0.8973 0.1027 0.0000  8 Mg 3.09-3.24
4 Mg 0.0928 0.9072 0.7143  1 C 2.39
5 Mg 0.3753 0.0403 0.0000  11 Mg 3.02-3.38
6 Mg 0.5546 0.8194 0.3131  1 C 2.51
7 Mg 0.8579 0.6011 0.5000  1 C 2.40
8 Mg 0.6606 0.3394 0.2292  8 Mg 2.97-3.28, 1 Al 3.10
9 Mg 0.1806 0.4454 0.6869  1 C 2.51
10 Mg 0.4291 0.5709 0.0000  10 Mg 3.05-3.30
11 Mg 0.0928 0.9072 0.2857  1 C 2.39
12 Mg 0.3989 0.1421 0.5000  1 C 2.40
13 Mg 0.9597 0.6247 0.0000  11 Mg 3.02-3.38
14 Mg 0.5546 0.8194 0.6869  1 C 2.51
15 C 0.2425 0.7575 0.5000  8 Mg 2.39-2.51
16 Al 0.8622 0.1378 0.5000  10 Mg 2.93-3.10

E above lowest polymorph in meV/atom: 0
Space-group type: No. 38

***

Record 4
VASP calculation (PBE-GGA) on crystalline Mg2AlC at its relaxed geometry.

Lattice parameters (Å, degrees): 4.5070 4.5070 4.5070 60.00 60.00 60.00
Closest atoms and distances in Å follow each position.
Element x y z (fractional)
1 Al 0.5000 0.5000 0.5000  8 Mg 2.76
2 Mg 0.7500 0.7500 0.7500  4 Al 2.76, 4 C 2.76
3 Mg 0.2500 0.2500 0.2500  4 Al 2.76, 4 C 2.76
4 C 0.0000 0.0000 0.0000  8 Mg 2.76

E above lowest polymorph in meV/atom: 590
Space-group type: No. 225

***

Record 5
VASP calculation (PBE-GGA) on crystalline Mg2AlMoC at its relaxed geometry.

Lattice parameters (Å, degrees): 5.1764 3.5327 5.1764 90.00 90.00 90.00
Closest atoms and distances in Å follow each position.
Element x y z (fractional)
1 Mg 0.0000 0.0000 0.5000  2 Al 2.59
2 Mg 0.5000 0.0000 0.0000  2 Al 2.59
3 C 0.0000 0.5000 0.0000  2 Al 1.77
4 Al 0.0000 0.0000 0.0000  2 C 1.77
5 Mo 0.5000 0.5000 0.5000  8 Mg 3.13

Space-group type: No. 123
Total energy in eV per atom: -3.94

***

Record 6
VASP calculation (PBE-GGA) on crystalline MgNbAl2C at its relaxed geometry.

Lattice parameters (Å, degrees): 4.1747 4.3085 4.1747 90.00 90.00 90.00
Closest atoms and distances in Å follow each position.
Element x y z (fractional)
1 Al 0.5000 0.0000 0.0000  2 C 2.09
2 Al 0.0000 0.0000 0.5000  2 C 2.09
3 Mg 0.0000 0.5000 0.0000  2 C 2.15
4 C 0.0000 0.0000 0.0000  4 Al 2.09, 2 Mg 2.15
5 Nb 0.5000 0.5000 0.5000  4 Mg 2.95, 8 Al 3.00

Space-group type: No. 123
Total energy in eV per atom: -5.15

***

Record 7
VASP calculation (PBE-GGA) on crystalline Mg6AlCO8 at its relaxed geometry.

Lattice parameters (Å, degrees): 4.1076 4.1076 9.1779 90.00 90.00 90.00
Closest atoms and distances in Å follow each position.
Element x y z (fractional)
1 O 0.0000 0.5000 0.0000  2 Al 2.05, 2 C 2.05, 2 Mg 2.23
2 O 0.5000 0.0000 0.0000  2 Al 2.05, 2 C 2.05, 2 Mg 2.23
3 O 0.0000 0.5000 0.5000  4 Mg 2.05
4 O 0.0000 0.0000 0.2092  1 Al 1.92, 4 Mg 2.08
5 O 0.5000 0.5000 0.2787  5 Mg 2.03-2.08
6 O 0.5000 0.5000 0.7213  5 Mg 2.03-2.08
7 O 0.0000 0.0000 0.7908  1 Al 1.92, 4 Mg 2.08
8 O 0.5000 0.0000 0.5000  4 Mg 2.05
9 Mg 0.0000 0.0000 0.5000  4 O 2.05
10 Mg 0.5000 0.0000 0.2426  5 O 2.08-2.23
11 Mg 0.0000 0.5000 0.2426  5 O 2.08-2.23
12 Mg 0.5000 0.0000 0.7574  5 O 2.08-2.23
13 Mg 0.5000 0.5000 0.5000  6 O 2.03-2.05
14 Mg 0.0000 0.5000 0.7574  5 O 2.08-2.23
15 C 0.5000 0.5000 0.0000  4 O 2.05
16 Al 0.0000 0.0000 0.0000  6 O 1.92-2.05

E above lowest polymorph in meV/atom: 76
Space-group type: No. 123
Raw formation energy in eV per atom: -2.024

***

Record 8
VASP calculation (PBE-GGA) on crystalline Mg6AlCO8 at its relaxed geometry.

Lattice parameters (Å, degrees): 4.1487 4.1487 8.8802 90.00 90.00 90.00
Closest atoms and distances in Å follow each position.
Element x y z (fractional)
1 C 0.0000 0.0000 0.5000  4 O 2.07
2 O 0.5000 0.0000 0.5000  4 Mg 2.07-2.15, 2 C 2.07
3 O 0.0000 0.0000 0.2040  1 Al 1.81
4 O 0.0000 0.5000 0.0000  4 Mg 2.07-2.29, 2 Al 2.07
5 O 0.5000 0.0000 0.0000  4 Mg 2.07-2.29, 2 Al 2.07
6 O 0.5000 0.5000 0.7468  6 Mg 2.07-2.25
7 O 0.5000 0.5000 0.2532  6 Mg 2.07-2.25
8 O 0.0000 0.0000 0.7960  1 Al 1.81
9 O 0.0000 0.5000 0.5000  2 C 2.07, 4 Mg 2.07-2.15
10 Mg 0.5000 0.5000 0.5000  6 O 2.07-2.19
11 Mg 0.5000 0.5000 0.0000  6 O 2.07-2.25
12 Mg 0.0000 0.5000 0.7417  6 O 2.07-2.29
13 Mg 0.0000 0.5000 0.2583  6 O 2.07-2.29
14 Mg 0.5000 0.0000 0.7417  6 O 2.07-2.29
15 Mg 0.5000 0.0000 0.2583  6 O 2.07-2.29
16 Al 0.0000 0.0000 0.0000  2 O 1.81

E above lowest polymorph in meV/atom: 0
Space-group type: No. 123
Raw formation energy in eV per atom: -2.100